# NdZnTc (PBE, relaxed)
# Symmetry ... C2/m, No. 12
# Energy of formation ... 0.0575 eV/atom
# Calculated volume ... 125 Å³ per cell
data_NdZnTc
_chemical_formula_sum 'Nd2 Zn2 Tc2'
_space_group_name_H-M_alt 'P 1'
_space_group_IT_number 1
_space_group_name_Hall 'P 1'
_cell_length_a 5.2904
_cell_length_b 5.2904
_cell_length_c 6.2996
_cell_angle_alpha 82.96
_cell_angle_beta 127.57
_cell_angle_gamma 114.82
loop_
_atom_site_label
_atom_site_type_symbol
_atom_site_fract_x
_atom_site_fract_y
_atom_site_fract_z
Zn1 Zn 0.5000 0.5000 0.5000
Nd1 Nd 0.7325 0.3535 0.0860
Tc1 Tc 0.7782 0.9877 0.7659
Nd2 Nd 0.2675 0.6465 0.9140
Zn2 Zn 0.0000 0.0000 0.5000
Tc2 Tc 0.2218 0.0123 0.2341

=====

# Nd2ZnTc (PBE, relaxed)
# Symmetry ... P4/mmm, No. 123
# Energy of formation ... -0.0294 eV/atom
# Calculated volume ... 95 Å³ per cell
data_Nd2ZnTc
_chemical_formula_sum 'Nd2 Zn1 Tc1'
_space_group_name_H-M_alt 'P 1'
_space_group_IT_number 1
_space_group_name_Hall 'P 1'
_cell_length_a 3.6086
_cell_length_b 3.6086
_cell_length_c 7.2981
_cell_angle_alpha 90.00
_cell_angle_beta 90.00
_cell_angle_gamma 90.00
loop_
_atom_site_label
_atom_site_type_symbol
_atom_site_fract_x
_atom_site_fract_y
_atom_site_fract_z
Nd1 Nd 0.0000 0.0000 0.7687
Zn1 Zn 0.5000 0.5000 0.5000
Nd2 Nd 0.0000 0.0000 0.2313
Tc1 Tc 0.5000 0.5000 0.0000

=====

| no. | N(E_F) (states/eV/cell) |
| --- | --- |
| 1 | 3.41 |
| 2 | 2.90 |